Record 1
Y6Pd2Pb: relaxed, PBE.

Summary:
Calculated volume: 495.5 Å³/cell
E: -57.87 eV per formula unit
Symmetry: Immm (71)
Formation energy: -0.55 eV per atom

Unit cell a=8.6491 b=8.6491 c=8.6491 alpha=113.21 beta=110.31 gamma=105.00
Closest atoms and distances in Å follow each position.
Fractional positions:
Y1 0.0328 0.2349 0.7979  1 Pd 2.86, 1 Pb 3.18
Y2 0.1833 0.2918 0.4750  3 Pd 3.02-3.21, 1 Pb 3.32
Y3 0.1833 0.7082 0.8915  3 Pd 3.02-3.21, 1 Pb 3.32
Y4 0.3269 0.0237 0.6968  3 Pd 2.78-3.02
Y5 0.3269 0.6300 0.3032  3 Pd 2.78-3.02
Y6 0.4370 0.2349 0.2021  1 Pd 2.86, 1 Pb 3.18
Y7 0.5630 0.7651 0.7979  1 Pd 2.86, 1 Pb 3.18
Y8 0.6731 0.3700 0.6968  3 Pd 2.78-3.02
Y9 0.6731 0.9763 0.3032  3 Pd 2.78-3.02
Y10 0.8167 0.2918 0.1085  3 Pd 3.02-3.21, 1 Pb 3.32
Y11 0.8167 0.7082 0.5250  3 Pd 3.02-3.21, 1 Pb 3.32
Y12 0.9672 0.7651 0.2021  1 Pd 2.86, 1 Pb 3.18
Pd1 0.1318 0.6318 0.5000  1 Pd 2.78, 6 Y 2.78-3.02
Pd2 0.3463 0.0000 0.3463  6 Y 2.86-3.02, 1 Pd 3.04
Pd3 0.6537 0.0000 0.6537  6 Y 2.86-3.02, 1 Pd 3.04
Pd4 0.8682 0.3682 0.5000  1 Pd 2.78, 6 Y 2.78-3.02
Pb1 0.0000 0.0000 0.0000  8 Y 3.18-3.32, 2 Pd 3.42
Pb2 0.5000 0.5000 0.0000  12 Y 3.41-3.71

Record 2
Y3Pd8Pb2: relaxed, PBE.

Summary:
Calculated volume: 269.3 Å³/cell
E: -74.71 eV per formula unit
Symmetry: R-3m (166)
Formation energy: -0.49 eV per atom

Unit cell a=10.7901 b=10.7901 c=10.7901 alpha=29.48 beta=29.48 gamma=29.48
Closest atoms and distances in Å follow each position.
Fractional positions:
Y1 0.0000 0.0000 0.0000  6 Pb 3.35, 12 Pd 3.56-3.65
Y2 0.1907 0.1907 0.1907  10 Pd 2.80-3.03
Y3 0.8093 0.8093 0.8093  10 Pd 2.80-3.03
Pd1 0.2206 0.7298 0.7298  4 Pd 2.70-2.80, 1 Pb 2.75, 2 Y 2.96
Pd2 0.2702 0.2702 0.7794  4 Pd 2.70-2.80, 1 Pb 2.75, 2 Y 2.96
Pd3 0.2702 0.7794 0.2702  4 Pd 2.70-2.80, 1 Pb 2.75, 2 Y 2.96
Pd4 0.2810 0.2810 0.2810  1 Pb 2.69, 1 Y 2.80
Pd5 0.7190 0.7190 0.7190  1 Pb 2.69, 1 Y 2.80
Pd6 0.7298 0.2206 0.7298  4 Pd 2.70-2.80, 1 Pb 2.75, 2 Y 2.96
Pd7 0.7298 0.7298 0.2206  4 Pd 2.70-2.80, 1 Pb 2.75, 2 Y 2.96
Pd8 0.7794 0.2702 0.2702  4 Pd 2.70-2.80, 1 Pb 2.75, 2 Y 2.96
Pb1 0.3680 0.3680 0.3680  4 Pd 2.69-2.75
Pb2 0.6320 0.6320 0.6320  4 Pd 2.69-2.75

Record 3
Y3PdPb3: relaxed, PBE.

Summary:
Calculated volume: 376.5 Å³/cell
E: -39.78 eV per formula unit
Symmetry: C2/m (12)
Formation energy: -0.58 eV per atom

Unit cell a=6.1725 b=6.1725 c=15.3750 alpha=107.07 beta=107.07 gamma=42.63
Closest atoms and distances in Å follow each position.
Fractional positions:
Y1 0.0239 0.0239 0.3804  6 Pb 3.17-3.42, 3 Pd 3.21-3.45
Y2 0.0981 0.0981 0.9242  5 Pb 3.08-3.21
Y3 0.2261 0.2261 0.2361  2 Pd 3.13, 6 Pb 3.20-3.40
Y4 0.7739 0.7739 0.7639  2 Pd 3.13, 6 Pb 3.20-3.40
Y5 0.9019 0.9019 0.0758  5 Pb 3.08-3.21
Y6 0.9761 0.9761 0.6196  6 Pb 3.17-3.42, 3 Pd 3.21-3.45
Pd1 0.2778 0.2778 0.6230  4 Pb 2.77-2.94
Pd2 0.7222 0.7222 0.3770  4 Pb 2.77-2.94
Pb1 0.3545 0.3545 0.4577  3 Pd 2.77-2.94
Pb2 0.3654 0.3654 0.9223  5 Y 3.08-3.23, 2 Pb 3.18-3.26
Pb3 0.4985 0.4985 0.7697  1 Pd 2.82
Pb4 0.5015 0.5015 0.2303  1 Pd 2.82
Pb5 0.6346 0.6346 0.0777  5 Y 3.08-3.23, 2 Pb 3.18-3.26
Pb6 0.6455 0.6455 0.5423  3 Pd 2.77-2.94

Record 4
YPd14Pb: relaxed, PBE.

Summary:
Calculated volume: 263.0 Å³/cell
E: -86.93 eV per formula unit
Symmetry: P4/mmm (123)
Formation energy: -0.25 eV per atom

Unit cell a=5.7536 b=5.7536 c=7.9440 alpha=90.00 beta=90.00 gamma=90.00
Closest atoms and distances in Å follow each position.
Fractional positions:
Y1 0.0000 0.0000 0.0000  12 Pd 2.88-2.89
Pd1 0.0000 0.0000 0.5000  12 Pd 2.80-2.88
Pd2 0.0000 0.5000 0.0000  2 Pb 2.88, 2 Y 2.88, 8 Pd 2.89
Pd3 0.0000 0.5000 0.5000  12 Pd 2.80-2.88
Pd4 0.2502 0.2502 0.2581  10 Pd 2.80-2.89, 1 Pb 2.89, 1 Y 2.89
Pd5 0.2502 0.2502 0.7419  10 Pd 2.80-2.89, 1 Pb 2.89, 1 Y 2.89
Pd6 0.2502 0.7498 0.2581  10 Pd 2.80-2.89, 1 Pb 2.89, 1 Y 2.89
Pd7 0.2502 0.7498 0.7419  10 Pd 2.80-2.89, 1 Pb 2.89, 1 Y 2.89
Pd8 0.5000 0.0000 0.0000  2 Pb 2.88, 2 Y 2.88, 8 Pd 2.89
Pd9 0.5000 0.0000 0.5000  12 Pd 2.80-2.88
Pd10 0.5000 0.5000 0.5000  12 Pd 2.80-2.88
Pd11 0.7498 0.2502 0.2581  10 Pd 2.80-2.89, 1 Pb 2.89, 1 Y 2.89
Pd12 0.7498 0.2502 0.7419  10 Pd 2.80-2.89, 1 Pb 2.89, 1 Y 2.89
Pd13 0.7498 0.7498 0.2581  10 Pd 2.80-2.89, 1 Pb 2.89, 1 Y 2.89
Pd14 0.7498 0.7498 0.7419  10 Pd 2.80-2.89, 1 Pb 2.89, 1 Y 2.89
Pb1 0.5000 0.5000 0.0000  12 Pd 2.88-2.89

Q: The lowest E belongs to which entry?
A: YPd14Pb